# 1
LuHfNiGe | PBE | relaxed

Unit cell a=4.658 b=4.658 c=4.658 alpha=60.00 beta=60.00 gamma=60.00
Fractional positions:
Lu 0.000 0.000 0.000
Hf 0.250 0.250 0.250
Ni 0.750 0.750 0.750
Ge 0.500 0.500 0.500

Calculated values
Calculated total energy in eV/atom: -6.053

=====

# 2
BaSrCd2Se2OF2 | PBE | relaxed

Unit cell a=9.630 b=9.630 c=9.630 alpha=153.28 beta=153.28 gamma=38.15
Fractional positions:
Ba 0.000 0.000 0.000
Sr 0.352 0.352 0.000
Cd 0.179 0.679 0.500
Cd 0.679 0.179 0.500
Se 0.572 0.572 0.000
Se 0.781 0.781 0.000
O 0.178 0.178 0.000
F 0.419 0.919 0.500
F 0.919 0.419 0.500

Calculated values
Calculated total energy in eV/atom: -4.410

=====

# 3
Co2AgBi | PBE | relaxed

Unit cell a=4.560 b=4.560 c=4.560 alpha=60.00 beta=60.00 gamma=60.00
Fractional positions:
Co 0.000 0.000 0.000
Co 0.250 0.250 0.250
Ag 0.750 0.750 0.750
Bi 0.500 0.500 0.500

Calculated values
Calculated total energy in eV/atom: -4.563

=====

# 4
PaInPd6 | PBE | relaxed

Unit cell a=5.749 b=5.749 c=4.760 alpha=90.00 beta=90.00 gamma=120.00
Fractional positions:
Pa 0.000 0.000 0.000
In 0.333 0.667 0.500
Pd 0.337 0.169 0.500
Pd 0.501 0.002 0.000
Pd 0.501 0.499 0.000
Pd 0.831 0.169 0.500
Pd 0.831 0.663 0.500
Pd 0.998 0.499 0.000

Calculated values
Calculated total energy in eV/atom: -6.061

=====

# 5
BeNb2Tc | PBE | relaxed

Unit cell a=4.409 b=4.409 c=4.409 alpha=60.00 beta=60.00 gamma=60.00
Fractional positions:
Be 0.000 0.000 0.000
Nb 0.250 0.250 0.250
Nb 0.500 0.500 0.500
Tc 0.750 0.750 0.750

Calculated values
Calculated total energy in eV/atom: -8.463

=====

# 6
Nb4AlPbC2 | PBE | relaxed

Unit cell a=3.211 b=3.211 c=14.114 alpha=90.00 beta=90.00 gamma=120.00
Fractional positions:
Nb 0.000 0.000 0.156
Nb 0.000 0.000 0.844
Nb 0.667 0.333 0.325
Nb 0.667 0.333 0.675
Al 0.667 0.333 0.000
Pb 0.000 0.000 0.500
C 0.333 0.667 0.241
C 0.333 0.667 0.759

Calculated values
Calculated total energy in eV/atom: -8.641

=====

# 7
TlCdCoW | PBE | relaxed

Unit cell a=4.610 b=4.610 c=4.610 alpha=60.00 beta=60.00 gamma=60.00
Fractional positions:
Tl 0.000 0.000 0.000
Cd 0.500 0.500 0.500
Co 0.250 0.250 0.250
W 0.750 0.750 0.750

Calculated values
Calculated total energy in eV/atom: -4.821

=====

# 8
CsTm2Cu3Se5 | PBE | relaxed

Unit cell a=7.618 b=7.618 c=17.224 alpha=90.00 beta=90.00 gamma=148.74
Fractional positions:
Cs 0.061 0.939 0.750
Cs 0.939 0.061 0.250
Tm 0.192 0.808 0.092
Tm 0.192 0.808 0.408
Tm 0.808 0.192 0.592
Tm 0.808 0.192 0.908
Cu 0.345 0.655 0.750
Cu 0.417 0.583 0.033
Cu 0.417 0.583 0.467
Cu 0.583 0.417 0.533
Cu 0.583 0.417 0.967
Cu 0.655 0.345 0.250
Se 0.170 0.830 0.570
Se 0.170 0.830 0.930
Se 0.238 0.762 0.250
Se 0.437 0.563 0.612
Se 0.437 0.563 0.888
Se 0.563 0.437 0.112
Se 0.563 0.437 0.388
Se 0.762 0.238 0.750
Se 0.830 0.170 0.070
Se 0.830 0.170 0.430

Calculated values
Calculated total energy in eV/atom: -4.603

=====

# 9
NbP2N | PBE | relaxed

Unit cell a=2.947 b=2.947 c=13.262 alpha=90.00 beta=90.00 gamma=120.00
Fractional positions:
Nb 0.333 0.667 0.250
Nb 0.667 0.333 0.750
P 0.333 0.667 0.602
P 0.333 0.667 0.898
P 0.667 0.333 0.102
P 0.667 0.333 0.398
N 0.000 0.000 0.000
N 0.000 0.000 0.500

Calculated values
Calculated total energy in eV/atom: -6.771

=====

# 10
ZrPaAu | PBE | relaxed

Unit cell a=4.832 b=4.832 c=4.832 alpha=60.00 beta=60.00 gamma=60.00
Fractional positions:
Zr 0.000 0.000 0.000
Pa 0.500 0.500 0.500
Au 0.750 0.750 0.750

Calculated values
E_form in eV per atom: 0.22
Calculated total energy in eV/atom: -6.880

=====

# 11
Re2BiIr | PBE | relaxed

Unit cell a=4.617 b=4.617 c=4.617 alpha=60.00 beta=60.00 gamma=60.00
Fractional positions:
Re 0.000 0.000 0.000
Re 0.250 0.250 0.250
Bi 0.500 0.500 0.500
Ir 0.750 0.750 0.750

Calculated values
Calculated total energy in eV/atom: -8.458

=====

# 12
CoGeW2 | PBE | relaxed

Unit cell a=4.342 b=4.342 c=4.342 alpha=60.00 beta=60.00 gamma=60.00
Fractional positions:
Co 0.000 0.000 0.000
Ge 0.750 0.750 0.750
W 0.250 0.250 0.250
W 0.500 0.500 0.500

Calculated values
Calculated total energy in eV/atom: -9.087

=====

# 13
ReO3 | PBE | relaxed

Unit cell a=5.266 b=5.266 c=5.266 alpha=57.57 beta=57.57 gamma=57.57
Fractional positions:
Re 0.000 0.000 0.000
Re 0.500 0.500 0.500
O 0.158 0.750 0.342
O 0.250 0.658 0.842
O 0.342 0.158 0.750
O 0.658 0.842 0.250
O 0.750 0.342 0.158
O 0.842 0.250 0.658

Calculated values
Calculated total energy in eV/atom: -8.344

=====

# 14
LiPm | PBE | relaxed

Unit cell a=4.621 b=4.621 c=4.621 alpha=60.00 beta=60.00 gamma=60.00
Fractional positions:
Li 0.000 0.000 0.000
Pm 0.750 0.750 0.750

Calculated values
Calculated total energy in eV/atom: -2.129

=====

# 15
SmZn2 | PBE | relaxed

Unit cell a=5.922 b=5.922 c=4.491 alpha=90.00 beta=90.00 gamma=49.93
Fractional positions:
Sm 0.230 0.770 0.750
Sm 0.770 0.230 0.250
Zn 0.144 0.462 0.250
Zn 0.462 0.144 0.750
Zn 0.538 0.856 0.250
Zn 0.856 0.538 0.750

Calculated values
E_form in eV per atom: -0.21
Calculated total energy in eV/atom: -2.626

=====

# 16
AgF3 | PBE | relaxed

Unit cell a=3.919 b=4.143 c=6.014 alpha=83.93 beta=73.43 gamma=67.20
Fractional positions:
Ag 0.000 0.000 0.000
Ag 0.000 0.500 0.500
F 0.228 0.041 0.657
F 0.232 0.274 0.100
F 0.448 0.575 0.300
F 0.552 0.425 0.700
F 0.768 0.726 0.900
F 0.772 0.959 0.343

Calculated values
Calculated total energy in eV/atom: -2.903

=====

# 17
IrPdW6 | PBE | relaxed

Unit cell a=5.666 b=5.666 c=4.569 alpha=90.00 beta=90.00 gamma=120.00
Fractional positions:
Ir 0.000 0.000 0.000
Pd 0.333 0.667 0.500
W 0.344 0.172 0.500
W 0.504 0.007 0.000
W 0.504 0.496 0.000
W 0.828 0.172 0.500
W 0.828 0.656 0.500
W 0.993 0.496 0.000

Calculated values
E_form in eV per atom: 0.17
Calculated total energy in eV/atom: -11.300

=====

# 18
LiCd4Ag | PBE | relaxed

Unit cell a=4.833 b=5.236 c=5.236 alpha=120.01 beta=90.00 gamma=90.00
Fractional positions:
Li 0.000 0.000 0.000
Cd 0.000 0.326 0.655
Cd 0.000 0.655 0.326
Cd 0.500 0.671 0.994
Cd 0.500 0.994 0.671
Ag 0.500 0.316 0.316

Calculated values
Calculated total energy in eV/atom: -1.532

=====

# 19
Zr4Cd2CO | PBE | relaxed

Unit cell a=3.345 b=3.345 c=14.921 alpha=90.00 beta=90.00 gamma=120.00
Fractional positions:
Zr 0.333 0.667 0.083
Zr 0.333 0.667 0.418
Zr 0.667 0.333 0.582
Zr 0.667 0.333 0.917
Cd 0.333 0.667 0.747
Cd 0.667 0.333 0.253
C 0.000 0.000 0.000
O 0.000 0.000 0.500

Calculated values
Calculated total energy in eV/atom: -7.162

=====

# 20
CuBMoIr | PBE | relaxed

Unit cell a=4.158 b=4.158 c=4.158 alpha=60.00 beta=60.00 gamma=60.00
Fractional positions:
Cu 0.000 0.000 0.000
B 0.750 0.750 0.750
Mo 0.500 0.500 0.500
Ir 0.250 0.250 0.250

Calculated values
Calculated total energy in eV/atom: -7.031

=====

# 21
FeSiIrPt | PBE | relaxed

Unit cell a=4.278 b=4.278 c=4.278 alpha=60.00 beta=60.00 gamma=60.00
Fractional positions:
Fe 0.000 0.000 0.000
Si 0.750 0.750 0.750
Ir 0.500 0.500 0.500
Pt 0.250 0.250 0.250

Calculated values
Calculated total energy in eV/atom: -7.255

=====

# 22
CdAgSb | PBE | relaxed

Unit cell a=5.119 b=5.119 c=6.076 alpha=90.00 beta=90.00 gamma=120.00
Fractional positions:
Cd 0.333 0.667 0.250
Cd 0.667 0.333 0.750
Ag 0.000 0.000 0.000
Ag 0.000 0.000 0.500
Sb 0.333 0.667 0.750
Sb 0.667 0.333 0.250

Calculated values
Calculated total energy in eV/atom: -2.466

=====

# 23
Zr2Ni3 | PBE | relaxed

Unit cell a=7.433 b=7.433 c=4.607 alpha=90.00 beta=90.00 gamma=36.75
Fractional positions:
Zr 0.127 0.652 0.750
Zr 0.348 0.873 0.750
Zr 0.652 0.127 0.250
Zr 0.873 0.348 0.250
Ni 0.079 0.516 0.250
Ni 0.288 0.712 0.250
Ni 0.484 0.921 0.250
Ni 0.516 0.079 0.750
Ni 0.712 0.288 0.750
Ni 0.921 0.484 0.750

Calculated values
E_form in eV per atom: -0.39
Calculated total energy in eV/atom: -7.145

=====

# 24
LiHfGe | PBE | relaxed

Unit cell a=4.363 b=4.363 c=4.363 alpha=60.00 beta=60.00 gamma=60.00
Fractional positions:
Li 0.000 0.000 0.000
Hf 0.500 0.500 0.500
Ge 0.750 0.750 0.750

Calculated values
Calculated total energy in eV/atom: -5.704

=====

# 25
YB4Ir | PBE | relaxed

Unit cell a=3.256 b=3.256 c=6.701 alpha=90.00 beta=90.00 gamma=120.00
Fractional positions:
Y 0.000 0.000 0.000
B 0.333 0.667 0.282
B 0.333 0.667 0.718
B 0.667 0.333 0.282
B 0.667 0.333 0.718
Ir 0.000 0.000 0.500

Calculated values
Calculated total energy in eV/atom: -7.196

=====

# 26
Co2P | PBE | relaxed

Unit cell a=6.863 b=6.863 c=6.863 alpha=60.00 beta=60.00 gamma=60.00
Fractional positions:
Co 0.000 0.000 0.000
Co 0.000 0.000 0.500
Co 0.000 0.500 0.000
Co 0.500 0.000 0.000
P 0.125 0.125 0.125
P 0.875 0.875 0.875

Calculated values
Calculated total energy in eV/atom: -5.117

=====

| no. | mass density (g/cm3) |
| --- | --- |
| 1 | 11.3 |
| 2 | 6.1 |
| 3 | 10.8 |
| 4 | 12.0 |
| 5 | 8.0 |
| 6 | 8.3 |
| 7 | 13.4 |
| 8 | 6.8 |
| 9 | 5.6 |
| 10 | 10.8 |
| 11 | 18.5 |
| 12 | 14.3 |
| 13 | 8.0 |
| 14 | 3.6 |
| 15 | 7.7 |
| 16 | 6.3 |
| 17 | 18.3 |
| 18 | 8.2 |
| 19 | 7.1 |
| 20 | 11.8 |
| 21 | 14.1 |
| 22 | 8.2 |
| 23 | 7.8 |
| 24 | 7.3 |
| 25 | 8.8 |
| 26 | 2.2 |